This record from Alexandria via LeMat-Bulk describes ErScHgPt after structural relaxation. The functional is PBE-GGA.

formation energy	-0.855	eV per atom
symmetry	P4mm
offset from the most stable computed form	0	kJ/mol of formula units

abc: 3.4270 3.4270 7.2876
angles: 90.00 90.00 90.00
Closest atoms and distances in Å follow each position.
Atoms (fractional coordinates):
Er 0.0000 0.0000 0.0000  4 Pt 3.01, 4 Hg 3.24, 1 Sc 3.26
Sc 0.0000 0.0000 0.5526  4 Pt 2.84, 4 Hg 3.07
Hg 0.5000 0.5000 0.2942  4 Sc 3.07, 4 Er 3.24, 1 Pt 3.36, 4 Hg 3.43
Pt 0.5000 0.5000 0.7550  4 Sc 2.84, 4 Er 3.01

***

This record from Alexandria via LeMat-Bulk describes Sr3Fe5Br12 after structural relaxation. The functional is PBE-GGA.

symmetry	Ia-3d
E_tot	-336.5	eV for the cell shown

abc: 14.3056 14.3056 14.3056
angles: 109.47 109.47 109.47
Closest atoms and distances in Å follow each position.
Atoms (fractional coordinates):
Sr 0.1250 0.2500 0.3750  8 Br 3.21-3.25
Sr 0.1250 0.3750 0.7500  8 Br 3.21-3.25
Sr 0.2500 0.3750 0.1250  8 Br 3.21-3.25
Sr 0.2500 0.8750 0.6250  8 Br 3.21-3.25
Sr 0.3750 0.1250 0.2500  8 Br 3.21-3.25
Sr 0.3750 0.7500 0.1250  8 Br 3.21-3.25
Sr 0.6250 0.2500 0.8750  8 Br 3.21-3.25
Sr 0.6250 0.8750 0.7500  8 Br 3.21-3.25
Sr 0.7500 0.1250 0.3750  8 Br 3.21-3.25
Sr 0.7500 0.6250 0.8750  8 Br 3.21-3.25
Sr 0.8750 0.6250 0.2500  8 Br 3.21-3.25
Sr 0.8750 0.7500 0.6250  8 Br 3.21-3.25
Fe 0.0000 0.0000 0.0000  6 Br 2.67
Fe 0.0000 0.0000 0.5000  6 Br 2.67
Fe 0.0000 0.5000 0.0000  6 Br 2.67
Fe 0.0000 0.5000 0.5000  6 Br 2.67
Fe 0.1250 0.7500 0.8750  4 Br 2.48
Fe 0.1250 0.8750 0.2500  4 Br 2.48
Fe 0.2500 0.1250 0.8750  4 Br 2.48
Fe 0.2500 0.6250 0.3750  4 Br 2.48
Fe 0.3750 0.2500 0.6250  4 Br 2.48
Fe 0.3750 0.6250 0.7500  4 Br 2.48
Fe 0.5000 0.0000 0.0000  6 Br 2.67
Fe 0.5000 0.0000 0.5000  6 Br 2.67
Fe 0.5000 0.5000 0.0000  6 Br 2.67
Fe 0.5000 0.5000 0.5000  6 Br 2.67
Fe 0.6250 0.3750 0.2500  4 Br 2.48
Fe 0.6250 0.7500 0.3750  4 Br 2.48
Fe 0.7500 0.3750 0.6250  4 Br 2.48
Fe 0.7500 0.8750 0.1250  4 Br 2.48
Fe 0.8750 0.1250 0.7500  4 Br 2.48
Fe 0.8750 0.2500 0.1250  4 Br 2.48
Br 0.0266 0.2052 0.1179  2 Fe 2.48-2.67
Br 0.0266 0.3214 0.9087  2 Fe 2.48-2.67
Br 0.0873 0.7052 0.6786  2 Fe 2.48-2.67
Br 0.0873 0.8821 0.4087  2 Fe 2.48-2.67
Br 0.0913 0.6179 0.4127  2 Fe 2.48-2.67
Br 0.0913 0.9734 0.6786  2 Fe 2.48-2.67
Br 0.1179 0.0266 0.2052  2 Fe 2.48-2.67
Br 0.1179 0.5913 0.9127  2 Fe 2.48-2.67
Br 0.1786 0.2052 0.5873  2 Fe 2.48-2.67
Br 0.1786 0.4734 0.5913  2 Fe 2.48-2.67
Br 0.2052 0.1179 0.0266  2 Fe 2.48-2.67
Br 0.2052 0.5873 0.1786  2 Fe 2.48-2.67
Br 0.2948 0.3214 0.9127  2 Fe 2.48-2.67
Br 0.2948 0.4734 0.3821  2 Fe 2.48-2.67
Br 0.3214 0.9087 0.0266  2 Fe 2.48-2.67
Br 0.3214 0.9127 0.2948  2 Fe 2.48-2.67
Br 0.3821 0.2948 0.4734  2 Fe 2.48-2.67
Br 0.3821 0.5873 0.9087  2 Fe 2.48-2.67
Br 0.4087 0.0873 0.8821  2 Fe 2.48-2.67
Br 0.4087 0.8214 0.5266  2 Fe 2.48-2.67
Br 0.4127 0.0913 0.6179  2 Fe 2.48-2.67
Br 0.4127 0.8214 0.7948  2 Fe 2.48-2.67
Br 0.4734 0.3821 0.2948  2 Fe 2.48-2.67
Br 0.4734 0.5913 0.1786  2 Fe 2.48-2.67
Br 0.5266 0.4087 0.8214  2 Fe 2.48-2.67
Br 0.5266 0.6179 0.7052  2 Fe 2.48-2.67
Br 0.5873 0.1786 0.2052  2 Fe 2.48-2.67
Br 0.5873 0.9087 0.3821  2 Fe 2.48-2.67
Br 0.5913 0.1786 0.4734  2 Fe 2.48-2.67
Br 0.5913 0.9127 0.1179  2 Fe 2.48-2.67
Br 0.6179 0.4127 0.0913  2 Fe 2.48-2.67
Br 0.6179 0.7052 0.5266  2 Fe 2.48-2.67
Br 0.6786 0.0873 0.7052  2 Fe 2.48-2.67
Br 0.6786 0.0913 0.9734  2 Fe 2.48-2.67
Br 0.7052 0.5266 0.6179  2 Fe 2.48-2.67
Br 0.7052 0.6786 0.0873  2 Fe 2.48-2.67
Br 0.7948 0.4127 0.8214  2 Fe 2.48-2.67
Br 0.7948 0.8821 0.9734  2 Fe 2.48-2.67
Br 0.8214 0.5266 0.4087  2 Fe 2.48-2.67
Br 0.8214 0.7948 0.4127  2 Fe 2.48-2.67
Br 0.8821 0.4087 0.0873  2 Fe 2.48-2.67
Br 0.8821 0.9734 0.7948  2 Fe 2.48-2.67
Br 0.9087 0.0266 0.3214  2 Fe 2.48-2.67
Br 0.9087 0.3821 0.5873  2 Fe 2.48-2.67
Br 0.9127 0.1179 0.5913  2 Fe 2.48-2.67
Br 0.9127 0.2948 0.3214  2 Fe 2.48-2.67
Br 0.9734 0.6786 0.0913  2 Fe 2.48-2.67
Br 0.9734 0.7948 0.8821  2 Fe 2.48-2.67

***

This record from Alexandria via LeMat-Bulk describes Tl2ZnFe2 after structural relaxation. The functional is PBE-GGA.

formation energy	0.541	eV per atom
symmetry	P4/mbm
offset from the most stable computed form	21	kJ/mol of formula units

abc: 6.3716 6.3716 4.1489
angles: 90.00 90.00 90.00
Closest atoms and distances in Å follow each position.
Atoms (fractional coordinates):
Tl 0.1766 0.3234 0.0000  6 Fe 2.74-2.85
Tl 0.3234 0.8234 0.0000  6 Fe 2.74-2.85
Tl 0.6766 0.1766 0.0000  6 Fe 2.74-2.85
Tl 0.8234 0.6766 0.0000  6 Fe 2.74-2.85
Zn 0.0000 0.0000 0.5000  4 Fe 2.52
Zn 0.5000 0.5000 0.5000  4 Fe 2.52
Fe 0.1252 0.6252 0.5000  1 Fe 2.26, 2 Zn 2.52
Fe 0.3748 0.1252 0.5000  1 Fe 2.26, 2 Zn 2.52
Fe 0.6252 0.8748 0.5000  1 Fe 2.26, 2 Zn 2.52
Fe 0.8748 0.3748 0.5000  1 Fe 2.26, 2 Zn 2.52

***

This record from Alexandria via LeMat-Bulk describes AcAsPd after structural relaxation. The functional is PBE-GGA.

formation energy	-1.033	eV per atom
symmetry	Cmcm
offset from the most stable computed form	53	kJ/mol of formula units

abc: 7.5255 7.5255 5.2381
angles: 90.00 90.00 146.06
Closest atoms and distances in Å follow each position.
Atoms (fractional coordinates):
Ac 0.1382 0.8618 0.7500  5 As 3.06-3.42, 4 Pd 3.24
Ac 0.8618 0.1382 0.2500  5 As 3.06-3.42, 4 Pd 3.24
As 0.3509 0.6491 0.7500  2 Pd 2.51
As 0.6491 0.3509 0.2500  2 Pd 2.51
Pd 0.5000 0.5000 0.0000  2 As 2.51, 2 Pd 2.62
Pd 0.5000 0.5000 0.5000  2 As 2.51, 2 Pd 2.62

***

This record from Alexandria via LeMat-Bulk describes Cs2TaAgTe4 after structural relaxation. The functional is PBE-GGA.

symmetry	Fddd
E_tot	-68.7	eV for the cell shown

abc: 15.8185 14.1016 8.4824
angles: 85.06 62.64 32.29
Closest atoms and distances in Å follow each position.
Atoms (fractional coordinates):
Cs 0.0559 0.0559 0.6941  8 Te 3.89-4.19
Cs 0.3059 0.3059 0.9441  8 Te 3.89-4.19
Cs 0.6941 0.6941 0.0559  8 Te 3.89-4.19
Cs 0.9441 0.9441 0.3059  8 Te 3.89-4.19
Ta 0.3750 0.3750 0.3750  4 Te 2.65
Ta 0.6250 0.6250 0.6250  4 Te 2.65
Ag 0.1250 0.1250 0.1250  4 Te 2.81
Ag 0.8750 0.8750 0.8750  4 Te 2.81
Te 0.0087 0.3550 0.4397  1 Ta 2.65, 1 Ag 2.81
Te 0.3034 0.5603 0.6450  1 Ta 2.65, 1 Ag 2.81
Te 0.3550 0.0087 0.6966  1 Ta 2.65, 1 Ag 2.81
Te 0.4397 0.6966 0.0087  1 Ta 2.65, 1 Ag 2.81
Te 0.5603 0.3034 0.9913  1 Ta 2.65, 1 Ag 2.81
Te 0.6450 0.9913 0.3034  1 Ta 2.65, 1 Ag 2.81
Te 0.6966 0.4397 0.3550  1 Ta 2.65, 1 Ag 2.81
Te 0.9913 0.6450 0.5603  1 Ta 2.65, 1 Ag 2.81

***

Please write out number 1 again, unchanged.
This record from Alexandria via LeMat-Bulk describes ErScHgPt after structural relaxation. The functional is PBE-GGA.

formation energy	-0.855	eV per atom
symmetry	P4mm
offset from the most stable computed form	0	kJ/mol of formula units

abc: 3.4270 3.4270 7.2876
angles: 90.00 90.00 90.00
Closest atoms and distances in Å follow each position.
Atoms (fractional coordinates):
Er 0.0000 0.0000 0.0000  4 Pt 3.01, 4 Hg 3.24, 1 Sc 3.26
Sc 0.0000 0.0000 0.5526  4 Pt 2.84, 4 Hg 3.07
Hg 0.5000 0.5000 0.2942  4 Sc 3.07, 4 Er 3.24, 1 Pt 3.36, 4 Hg 3.43
Pt 0.5000 0.5000 0.7550  4 Sc 2.84, 4 Er 3.01

***

Number 2 is which compound? Sr3Fe5Br12